No. 1
! Cd2CoP | Alexandria via LeMat-Bulk | PBE | optimized geometry; values from VASP
! * electronic total energy: -3.1872 eV/atom
! * theoretical density: 7.69 Mg/m³
! * total magnetization: 1.2 μB/f.u.
&SYSTEM
  ibrav = 0, nat = 4, ntyp = 3
/
ATOMIC_SPECIES
Cd 112.41 Cd.upf
Co 58.93 Co.upf
P 30.97 P.upf
CELL_PARAMETERS angstrom
4.093 0.000 0.000
0.000 4.093 0.000
0.000 0.000 4.058
ATOMIC_POSITIONS crystal
Cd 0.000 0.500 0.000
Cd 0.500 0.000 0.000
Co 0.000 0.000 0.500
P 0.500 0.500 0.500

No. 2
! Ho4Cu3Pt | Alexandria via LeMat-Bulk | PBE | optimized geometry; values from VASP
! * electronic total energy: -5.1286 eV/atom
! * theoretical density: 10.08 Mg/m³
! * total magnetization: 0.0 μB/f.u.
&SYSTEM
  ibrav = 0, nat = 8, ntyp = 3
/
ATOMIC_SPECIES
Ho 164.93 Ho.upf
Cu 63.55 Cu.upf
Pt 195.08 Pt.upf
CELL_PARAMETERS angstrom
3.770 0.000 0.000
0.000 4.438 0.000
0.000 0.000 10.294
ATOMIC_POSITIONS crystal
Ho 0.000 0.000 0.000
Ho 0.000 0.500 0.277
Ho 0.500 0.000 0.497
Ho 0.500 0.500 0.778
Cu 0.000 0.000 0.710
Cu 0.000 0.500 0.567
Cu 0.500 0.500 0.059
Pt 0.500 0.000 0.217

No. 3
! BaY3Cl11 | Alexandria via LeMat-Bulk | PBE | optimized geometry; values from VASP
! * ΔE_f (raw): -2269 meV per atom
! * electronic total energy: -5.0437 eV/atom
! * theoretical density: 2.47 Mg/m³
! * total magnetization: 0.1 μB/f.u.
&SYSTEM
  ibrav = 0, nat = 30, ntyp = 3
/
ATOMIC_SPECIES
Ba 137.33 Ba.upf
Y 88.91 Y.upf
Cl 35.45 Cl.upf
CELL_PARAMETERS angstrom
10.354 0.000 0.000
0.000 5.344 0.000
0.000 0.000 19.261
ATOMIC_POSITIONS crystal
Ba 0.250 0.000 0.019
Ba 0.750 0.000 0.981
Y 0.000 0.000 0.500
Y 0.002 0.000 0.766
Y 0.498 0.000 0.766
Y 0.500 0.000 0.500
Y 0.502 0.000 0.234
Y 0.998 0.000 0.234
Cl 0.000 0.500 0.500
Cl 0.007 0.500 0.763
Cl 0.039 0.000 0.902
Cl 0.066 0.000 0.367
Cl 0.250 0.000 0.203
Cl 0.250 0.000 0.534
Cl 0.250 0.000 0.735
Cl 0.250 0.500 0.075
Cl 0.434 0.000 0.367
Cl 0.461 0.000 0.902
Cl 0.493 0.500 0.763
Cl 0.500 0.500 0.500
Cl 0.507 0.500 0.237
Cl 0.539 0.000 0.098
Cl 0.566 0.000 0.633
Cl 0.750 0.000 0.265
Cl 0.750 0.000 0.466
Cl 0.750 0.000 0.797
Cl 0.750 0.500 0.925
Cl 0.934 0.000 0.633
Cl 0.961 0.000 0.098
Cl 0.993 0.500 0.237

No. 4
! KMg | Alexandria via LeMat-Bulk | PBE | optimized geometry; values from VASP
! * electronic total energy: -1.0935 eV/atom
! * theoretical density: 1.28 Mg/m³
! * total magnetization: 0.0 μB/f.u.
&SYSTEM
  ibrav = 0, nat = 2, ntyp = 2
/
ATOMIC_SPECIES
K 39.10 K.upf
Mg 24.30 Mg.upf
CELL_PARAMETERS angstrom
3.782 0.000 0.000
0.000 3.782 0.000
0.000 0.000 5.764
ATOMIC_POSITIONS crystal
K 0.000 0.000 0.000
Mg 0.500 0.500 0.500

No. 5
! KCrMo4 | Alexandria via LeMat-Bulk | PBE | optimized geometry; values from VASP
! * electronic total energy: -7.8804 eV/atom
! * theoretical density: 7.08 Mg/m³
! * total magnetization: 2.4 μB/f.u.
&SYSTEM
  ibrav = 0, nat = 6, ntyp = 3
/
ATOMIC_SPECIES
K 39.10 K.upf
Cr 52.00 Cr.upf
Mo 95.94 Mo.upf
CELL_PARAMETERS angstrom
0.000 3.820 3.820
3.820 0.000 3.820
3.820 3.820 0.000
ATOMIC_POSITIONS crystal
K 0.000 0.000 0.000
Cr 0.250 0.250 0.250
Mo 0.123 0.626 0.626
Mo 0.626 0.123 0.626
Mo 0.626 0.626 0.123
Mo 0.626 0.626 0.626

No. 6
! La5Dy2In4 | Alexandria via LeMat-Bulk | PBE | optimized geometry; values from VASP
! * electronic total energy: -4.3967 eV/atom
! * theoretical density: 7.31 Mg/m³
! * total magnetization: 0.2 μB/f.u.
&SYSTEM
  ibrav = 0, nat = 11, ntyp = 3
/
ATOMIC_SPECIES
La 138.91 La.upf
Dy 162.50 Dy.upf
In 114.82 In.upf
CELL_PARAMETERS angstrom
8.952 0.000 0.000
0.000 3.449 0.000
-0.963 0.000 10.886
ATOMIC_POSITIONS crystal
La 0.000 0.000 0.000
La 0.043 0.000 0.338
La 0.345 0.000 0.861
La 0.655 0.000 0.139
La 0.957 0.000 0.662
Dy 0.424 0.000 0.363
Dy 0.576 0.000 0.637
In 0.261 0.500 0.575
In 0.300 0.500 0.130
In 0.700 0.500 0.870
In 0.739 0.500 0.425

No. 7
! K3NdP2O8 | Alexandria via LeMat-Bulk | PBE | optimized geometry; values from VASP
! * ΔE_f (raw): -2576 meV per atom
! * electronic total energy: -6.7575 eV/atom
! * theoretical density: 3.58 Mg/m³
! * total magnetization: 0.0 μB/f.u.
&SYSTEM
  ibrav = 0, nat = 28, ntyp = 4
/
ATOMIC_SPECIES
K 39.10 K.upf
Nd 144.24 Nd.upf
P 30.97 P.upf
O 16.00 O.upf
CELL_PARAMETERS angstrom
7.575 0.000 0.000
0.000 5.743 0.000
-0.173 0.000 9.640
ATOMIC_POSITIONS crystal
K 0.005 0.250 0.191
K 0.141 0.750 0.408
K 0.297 0.250 0.916
K 0.703 0.750 0.084
K 0.859 0.250 0.592
K 0.995 0.750 0.809
Nd 0.495 0.750 0.709
Nd 0.505 0.250 0.291
P 0.267 0.750 0.087
P 0.308 0.250 0.573
P 0.692 0.750 0.427
P 0.733 0.250 0.913
O 0.065 0.750 0.101
O 0.217 0.250 0.426
O 0.254 0.028 0.656
O 0.254 0.472 0.656
O 0.322 0.750 0.931
O 0.346 0.529 0.159
O 0.346 0.971 0.159
O 0.490 0.750 0.451
O 0.510 0.250 0.549
O 0.654 0.029 0.841
O 0.654 0.471 0.841
O 0.678 0.250 0.069
O 0.746 0.528 0.344
O 0.746 0.972 0.344
O 0.783 0.750 0.574
O 0.935 0.250 0.899

No. 8
! LaTa4Mn | Alexandria via LeMat-Bulk | PBE | optimized geometry; values from VASP
! * electronic total energy: -9.7196 eV/atom
! * theoretical density: 12.03 Mg/m³
! * total magnetization: 2.3 μB/f.u.
&SYSTEM
  ibrav = 0, nat = 6, ntyp = 3
/
ATOMIC_SPECIES
La 138.91 La.upf
Ta 180.95 Ta.upf
Mn 54.94 Mn.upf
CELL_PARAMETERS angstrom
0.000 3.986 3.986
3.986 0.000 3.986
3.986 3.986 0.000
ATOMIC_POSITIONS crystal
La 0.000 0.000 0.000
Ta 0.374 0.374 0.374
Ta 0.374 0.374 0.877
Ta 0.374 0.877 0.374
Ta 0.877 0.374 0.374
Mn 0.750 0.750 0.750